Here is crystalline PuNpU at its relaxed geometry from the Alexandria database. Energies are from PBE.

Summary:
The formation energy comes out at 0.28 eV/atom. The symmetry is I4mm (107). Its uncorrected energy is -75.4 eV for the cell shown.

a b c (Å): 3.262 3.262 11.928
angles (deg): 90.00 90.00 90.00
Atoms (fractional coordinates):
Pu (0.000, 0.000, 0.000)
Pu (0.500, 0.500, 0.500)
Np (0.000, 0.000, 0.320)
Np (0.500, 0.500, 0.820)
U (0.000, 0.000, 0.674)
U (0.500, 0.500, 0.174)